Compound: GaAsSe2O
Source: Alexandria via LeMat-Bulk
Functional: PBE
Structure: optimized geometry

```
5
Lattice="4.535 0.000 0.000 0.000 4.535 0.000 0.000 0.000 4.527" Properties=species:S:1:pos:R:3 pbc="T T T"
Ga 0.000 0.000 0.000
As 2.268 2.268 0.000
Se 0.000 2.268 2.264
Se 2.268 0.000 2.264
O 2.268 2.268 2.264
```

Output
Its raw formation energy is 1.712 eV/f.u. Its symmetry is P4/mmm. The density of states at the Fermi level is 4.13 states/eV/cell. Its total energy is -3.58 eV/atom.